(1)
Computed, not measured: crystalline LaCr2Os at its relaxed geometry at the GGA-PBE level of DFT.

The structure in CIF format:
```
data_LaCr2Os
_symmetry_space_group_name_H-M 'P 1'
_symmetry_Int_Tables_number 1
_cell_length_a 2.8241
_cell_length_b 2.8241
_cell_length_c 8.9610
_cell_angle_alpha 90.00
_cell_angle_beta 90.00
_cell_angle_gamma 114.16
loop_
_symmetry_equiv_pos_as_xyz
'x,y,z'
loop_
_atom_site_label
_atom_site_type_symbol
_atom_site_fract_x
_atom_site_fract_y
_atom_site_fract_z
La1 La 0.0000 0.0000 0.0000
Cr1 Cr 0.0000 0.0000 0.4831
Cr2 Cr 0.5000 0.5000 0.2989
Os1 Os 0.5000 0.5000 0.7072
```

Properties
DOS at the Fermi energy (states/eV/f.u.): 4.5
ρ (g/cm3): 11.03
Formation enthalpy at 0 K (eV per formula unit): 2.5
Relative energy among the computed polymorphs (meV/atom): 220


(2)
Computed, not measured: crystalline LaCrOs2 at its relaxed geometry at the GGA-PBE level of DFT.

The structure in CIF format:
```
data_LaCrOs2
_symmetry_space_group_name_H-M 'P 1'
_symmetry_Int_Tables_number 1
_cell_length_a 5.6539
_cell_length_b 5.6539
_cell_length_c 5.6539
_cell_angle_alpha 150.41
_cell_angle_beta 129.59
_cell_angle_gamma 59.54
loop_
_symmetry_equiv_pos_as_xyz
'x,y,z'
loop_
_atom_site_label
_atom_site_type_symbol
_atom_site_fract_x
_atom_site_fract_y
_atom_site_fract_z
La1 La 0.0000 0.0000 0.0000
Cr1 Cr 0.5000 0.5000 0.0000
Os1 Os 0.2816 0.7816 0.5000
Os2 Os 0.7184 0.2184 0.5000
```

Properties
DOS at the Fermi energy (states/eV/f.u.): 4.6
ρ (g/cm3): 13.90
Formation enthalpy at 0 K (eV per formula unit): 2.2
Relative energy among the computed polymorphs (meV/atom): 301